# 1
YSiMo: optimized geometry, PBE-GGA.

- density of states at the Fermi level (states/eV per atom) = 1.1599
- spin magnetization (μB per formula unit) = 0.00
- ΔE_f (raw) (eV/atom) = 0.0317

Unit cell a=4.463 b=4.463 c=4.463 alpha=60.00 beta=60.00 gamma=60.00
Positions (direct):
Mo: 0.500 0.500 0.500
Si: 0.750 0.750 0.750
Y: 0.000 0.000 0.000

---

# 2
NaCeSeS: optimized geometry, PBE-GGA.

- density of states at the Fermi level (states/eV per atom) = 1.4789
- spin magnetization (μB per formula unit) = 1.00
- ΔE_f (raw) (eV/atom) = -1.6734

Unit cell a=4.216 b=4.216 c=7.235 alpha=73.06 beta=73.06 gamma=60.00
Site moments in Bohr magnetons follow the coordinates.
Positions (direct):
Na: 0.502 0.502 0.494  0.00
Se: 0.746 0.746 0.763  -0.02
S: 0.256 0.256 0.231  -0.02
Ce: 0.996 0.996 0.013  0.94

---

# 3
Rb2Cu2Au: optimized geometry, PBE-GGA.

- density of states at the Fermi level (states/eV per atom) = 0.2621
- spin magnetization (μB per formula unit) = 0.00
- formation energy (kcal/mol of atoms) = 4.2
- distance to the lowest polymorph of the same formula (meV/atom) = 0

Unit cell a=3.613 b=3.613 c=10.947 alpha=80.50 beta=80.50 gamma=90.00
Positions (direct):
Cu: 0.250 0.750 0.500
Rb: 0.391 0.391 0.219
Cu: 0.750 0.250 0.500
Au: 0.000 0.000 0.000
Rb: 0.609 0.609 0.781

---

# 4
Mg2NbPb2: optimized geometry, PBE-GGA.

- density of states at the Fermi level (states/eV per atom) = 0.7042
- spin magnetization (μB per formula unit) = 0.00
- formation energy (kcal/mol of atoms) = 11.1
- distance to the lowest polymorph of the same formula (meV/atom) = 146

Unit cell a=3.903 b=3.903 c=8.340 alpha=76.47 beta=76.47 gamma=90.00
Positions (direct):
Pb: 0.403 0.403 0.194
Nb: 0.000 0.000 0.000
Mg: 0.250 0.750 0.500
Mg: 0.750 0.250 0.500
Pb: 0.597 0.597 0.806

---

# 5
InOsAu2: optimized geometry, PBE-GGA.

- density of states at the Fermi level (states/eV per atom) = 0.3022
- spin magnetization (μB per formula unit) = 0.00
- formation energy (kcal/mol of atoms) = 8.9

Unit cell a=3.362 b=4.500 c=4.665 alpha=90.00 beta=90.00 gamma=90.00
Positions (direct):
Os: 0.000 0.500 0.500
Au: 0.500 0.500 0.000
In: 0.500 0.000 0.500
Au: 0.000 0.000 0.000

---

# 6
BaTiCl2: optimized geometry, PBE-GGA.

- density of states at the Fermi level (states/eV per atom) = 1.4980
- spin magnetization (μB per formula unit) = 2.49
- ΔE_f (raw) (eV/atom) = -0.9255
- distance to the lowest polymorph of the same formula (meV/atom) = 3

Unit cell a=8.818 b=8.818 c=8.818 alpha=26.93 beta=26.93 gamma=26.93
Site moments in Bohr magnetons follow the coordinates.
Positions (direct):
Cl: 0.121 0.121 0.121  -0.01
Cl: 0.879 0.879 0.879  -0.01
Ba: 0.000 0.000 0.000  0.00
Ti: 0.500 0.500 0.500  1.93

---

# 7
Mn2InCl: optimized geometry, PBE-GGA.

- density of states at the Fermi level (states/eV per atom) = 0.7505
- spin magnetization (μB per formula unit) = 8.01
- ΔE_f (raw) (eV/atom) = 0.3127
- distance to the lowest polymorph of the same formula (meV/atom) = 276

Unit cell a=5.036 b=5.036 c=3.090 alpha=90.00 beta=90.00 gamma=106.71
Site moments in Bohr magnetons follow the coordinates.
Positions (direct):
Cl: 0.500 0.000 0.500  0.12
Mn: 0.500 0.500 0.000  3.79
In: 0.000 0.500 0.500  -0.11
Mn: 0.000 0.000 0.000  3.79

---

# 8
TcAsBr2O: optimized geometry, PBE-GGA.

- density of states at the Fermi level (states/eV per atom) = 1.8665
- spin magnetization (μB per formula unit) = 1.26
- ΔE_f (raw) (eV/atom) = 0.8263
- distance to the lowest polymorph of the same formula (meV/atom) = 0

Unit cell a=5.082 b=5.082 c=4.751 alpha=90.00 beta=90.00 gamma=90.00
Site moments in Bohr magnetons follow the coordinates.
Positions (direct):
As: 0.000 0.000 0.500  -0.13
Br: 0.500 0.000 0.000  0.08
Tc: 0.000 0.000 0.000  0.94
O: 0.500 0.500 0.500  0.24
Br: 0.000 0.500 0.000  0.08